The following is a DFT calculation (PBE with a Hubbard U) of a relaxed Li7Mn2Co3O12 crystal.

D(E_F) ... 0.117 states/eV per atom
E_tot ... -5.83 eV per atom
Space-group type ... Cm
Spin magnetization ... 0.6667 μB per atom

Lattice parameters (Å, degrees): 7.715 7.715 10.154 73.43 73.43 22.12
Element x y z (fractional)
Li  0.168  0.168  0.268
Li  0.843  0.843  0.732
Li  0.491  0.491  0.273
Li  0.175  0.175  0.722
Li  0.828  0.828  0.265
Li  0.499  0.499  0.739
Li  0.669  0.669  0.495
Mn  0.998  0.998  0.000
Mn  0.667  0.667  0.999
Co  0.332  0.332  0.002
Co  0.006  0.006  0.501
Co  0.326  0.326  0.502
O  0.233  0.233  0.889
O  0.922  0.922  0.393
O  0.574  0.574  0.893
O  0.261  0.261  0.376
O  0.918  0.918  0.888
O  0.577  0.577  0.384
O  0.073  0.073  0.615
O  0.745  0.745  0.114
O  0.419  0.419  0.613
O  0.091  0.091  0.103
O  0.755  0.755  0.621
O  0.431  0.431  0.114